A plane-wave DFT calculation with GGA-PBE was carried out for a relaxed BaFeBr4 crystal.

Properties
Density of states at the Fermi level in states/eV per cell: 13.4
Energy above the lowest structure with this stoichiometry in eV per formula unit: 0.00

Cell lengths 8.513, 8.513, 8.513 Å; angles 105.17, 105.17, 118.46 degrees
Positions (direct):
Ba1 0.375 0.625 0.750
Ba2 0.625 0.375 0.250
Fe1 0.125 0.875 0.250
Fe2 0.875 0.125 0.750
Br1 0.128 0.696 0.432
Br2 0.235 0.304 0.932
Br3 0.304 0.235 0.432
Br4 0.304 0.872 0.068
Br5 0.696 0.128 0.932
Br6 0.696 0.765 0.568
Br7 0.765 0.696 0.068
Br8 0.872 0.304 0.568

A plane-wave DFT calculation with GGA-PBE was carried out for a relaxed BaFe2Br crystal.

Properties
Density of states at the Fermi level in states/eV per cell: 5.5
Energy above the lowest structure with this stoichiometry in eV per formula unit: 3.09

Cell lengths 9.506, 9.506, 9.506 Å; angles 21.12, 21.12, 21.12 degrees
Positions (direct):
Ba1 0.000 0.000 0.000
Fe1 0.236 0.236 0.236
Fe2 0.764 0.764 0.764
Br1 0.500 0.500 0.500

A plane-wave DFT calculation with GGA-PBE was carried out for a relaxed BaFe2Br crystal.

Properties
Density of states at the Fermi level in states/eV per cell: 5.7
Energy above the lowest structure with this stoichiometry in eV per formula unit: 1.59

Cell lengths 3.685, 4.834, 5.951 Å; angles 90.00, 90.00, 90.00 degrees
Positions (direct):
Ba1 0.000 0.000 0.000
Fe1 0.000 0.500 0.500
Fe2 0.500 0.000 0.500
Br1 0.500 0.500 0.000

A plane-wave DFT calculation with GGA-PBE was carried out for a relaxed BaFe2Br crystal.

Properties
Density of states at the Fermi level in states/eV per cell: 4.4
Energy above the lowest structure with this stoichiometry in eV per formula unit: 2.54

Cell lengths 6.136, 6.136, 3.584 Å; angles 90.00, 90.00, 122.25 degrees
Positions (direct):
Ba1 0.000 0.000 0.000
Fe1 0.000 0.500 0.500
Fe2 0.500 0.000 0.500
Br1 0.500 0.500 0.000